Record 1
## CdCoP2 (PBE)

Data for a geometry-optimized CdCoP2 structure.

CIF file:
```
data_CdCoP2
_cell_length_a 3.4955
_cell_length_b 3.4955
_cell_length_c 18.6850
_cell_angle_alpha 90.00
_cell_angle_beta 90.00
_cell_angle_gamma 120.00
_space_group_name_H-M_alt 'R -3 m'
_space_group_IT_number 166
_space_group_name_Hall '-R 3 2"'
loop_
_atom_site_label
_atom_site_type_symbol
_atom_site_fract_x
_atom_site_fract_y
_atom_site_fract_z
_atom_site_occupancy
Cd1 Cd 0.0000 0.0000 0.0000 1
Co1 Co 0.0000 0.0000 0.5000 1
P1 P 0.0000 0.0000 0.2207 1
```

Values from the calculation:
Formation energy ... -57 meV/atom
VASP energy ... -4.77 eV per atom

Record 2
## CdCoP2 (PBE)

Data for a geometry-optimized CdCoP2 structure.

CIF file:
```
data_CdCoP2
_cell_length_a 2.694
_cell_length_b 3.503
_cell_length_c 7.190
_cell_angle_alpha 90.00
_cell_angle_beta 90.00
_cell_angle_gamma 90.00
_space_group_name_H-M_alt 'P m m 2'
_space_group_IT_number 25
_space_group_name_Hall 'P 2 -2'
loop_
_atom_site_label
_atom_site_type_symbol
_atom_site_fract_x
_atom_site_fract_y
_atom_site_fract_z
_atom_site_occupancy
Cd1 Cd 0.000 0.000 0.000 1
Co1 Co 0.500 0.500 0.459 1
P1 P 0.000 0.000 0.364 1
P2 P 0.500 0.500 0.758 1
```

Values from the calculation:
Formation energy ... 76 meV/atom
VASP energy ... -4.63 eV per atom

Record 3
## CdCoP2 (PBE)

Data for a geometry-optimized CdCoP2 structure.

CIF file:
```
data_CdCoP2
_cell_length_a 3.260
_cell_length_b 3.260
_cell_length_c 5.745
_cell_angle_alpha 90.00
_cell_angle_beta 90.00
_cell_angle_gamma 90.00
_space_group_name_H-M_alt 'P 4/m m m'
_space_group_IT_number 123
_space_group_name_Hall '-P 4 2'
loop_
_atom_site_label
_atom_site_type_symbol
_atom_site_fract_x
_atom_site_fract_y
_atom_site_fract_z
_atom_site_occupancy
Cd1 Cd 0.000 0.000 0.000 1
Co1 Co 0.000 0.000 0.500 1
P1 P 0.500 0.500 0.313 1
```

Values from the calculation:
Formation energy ... 177 meV/atom
VASP energy ... -4.53 eV per atom

Record 4
## CdCoP4 (PBE)

Data for a geometry-optimized CdCoP4 structure.

CIF file:
```
data_CdCoP4
_cell_length_a 7.243
_cell_length_b 7.243
_cell_length_c 7.243
_cell_angle_alpha 90.00
_cell_angle_beta 90.00
_cell_angle_gamma 90.00
_space_group_name_H-M_alt 'F -4 3 m'
_space_group_IT_number 216
_space_group_name_Hall 'F -4 2 3'
loop_
_atom_site_label
_atom_site_type_symbol
_atom_site_fract_x
_atom_site_fract_y
_atom_site_fract_z
_atom_site_occupancy
Cd1 Cd 0.000 0.000 0.000 1
Co1 Co 0.250 0.250 0.250 1
P1 P 0.122 0.122 0.622 1
```

Values from the calculation:
Formation energy ... 736 meV/atom
VASP energy ... -4.21 eV per atom

Record 5
## CdCoP2 (PBE)

Data for a geometry-optimized CdCoP2 structure.

CIF file:
```
data_CdCoP2
_cell_length_a 3.702
_cell_length_b 5.091
_cell_length_c 7.417
_cell_angle_alpha 90.00
_cell_angle_beta 90.00
_cell_angle_gamma 90.00
_space_group_name_H-M_alt 'I m m m'
_space_group_IT_number 71
_space_group_name_Hall '-I 2 2'
loop_
_atom_site_label
_atom_site_type_symbol
_atom_site_fract_x
_atom_site_fract_y
_atom_site_fract_z
_atom_site_occupancy
Cd1 Cd 0.000 0.000 0.000 1
Co1 Co 0.000 0.000 0.500 1
P1 P 0.000 0.500 0.162 1
```

Values from the calculation:
Formation energy ... 270 meV/atom
VASP energy ... -4.44 eV per atom

Record 6
## CdCoP2 (PBE)

Data for a geometry-optimized CdCoP2 structure.

CIF file:
```
data_CdCoP2
_cell_length_a 7.472
_cell_length_b 3.166
_cell_length_c 5.909
_cell_angle_alpha 90.00
_cell_angle_beta 106.02
_cell_angle_gamma 90.00
_space_group_name_H-M_alt 'C 1 m 1'
_space_group_IT_number 8
_space_group_name_Hall 'C -2y'
loop_
_atom_site_label
_atom_site_type_symbol
_atom_site_fract_x
_atom_site_fract_y
_atom_site_fract_z
_atom_site_occupancy
Cd1 Cd 0.000 0.000 0.000 1
Co1 Co 0.370 0.000 0.599 1
P1 P 0.167 0.500 0.618 1
P2 P 0.292 0.500 0.314 1
```

Values from the calculation:
Formation energy ... -87 meV/atom
VASP energy ... -4.80 eV per atom

Record 7
## Cd3CoP (PBE)

Data for a geometry-optimized Cd3CoP structure.

CIF file:
```
data_Cd3CoP
_cell_length_a 5.060
_cell_length_b 5.060
_cell_length_c 5.060
_cell_angle_alpha 90.00
_cell_angle_beta 90.00
_cell_angle_gamma 90.00
_space_group_name_H-M_alt 'P m -3 m'
_space_group_IT_number 221
_space_group_name_Hall '-P 4 2 3'
loop_
_atom_site_label
_atom_site_type_symbol
_atom_site_fract_x
_atom_site_fract_y
_atom_site_fract_z
_atom_site_occupancy
Cd1 Cd 0.000 0.000 0.500 1
Co1 Co 0.500 0.500 0.500 1
P1 P 0.000 0.000 0.000 1
```

Values from the calculation:
Formation energy ... 901 meV/atom
Polymorph energy (0 for the lowest one) ... 0.47 eV/f.u.
VASP energy ... -2.15 eV per atom

Record 8
## Cd3CoP (PBE)

Data for a geometry-optimized Cd3CoP structure.

CIF file:
```
data_Cd3CoP
_cell_length_a 4.910
_cell_length_b 4.910
_cell_length_c 4.910
_cell_angle_alpha 90.00
_cell_angle_beta 90.00
_cell_angle_gamma 90.00
_space_group_name_H-M_alt 'P m -3 m'
_space_group_IT_number 221
_space_group_name_Hall '-P 4 2 3'
loop_
_atom_site_label
_atom_site_type_symbol
_atom_site_fract_x
_atom_site_fract_y
_atom_site_fract_z
_atom_site_occupancy
Cd1 Cd 0.000 0.000 0.500 1
Co1 Co 0.000 0.000 0.000 1
P1 P 0.500 0.500 0.500 1
```

Values from the calculation:
Formation energy ... 807 meV/atom
Polymorph energy (0 for the lowest one) ... 0.00 eV/f.u.
VASP energy ... -2.25 eV per atom

Record 9
## CdCoP2 (PBE)

Data for a geometry-optimized CdCoP2 structure.

CIF file:
```
data_CdCoP2
_cell_length_a 3.905
_cell_length_b 3.592
_cell_length_c 5.471
_cell_angle_alpha 90.00
_cell_angle_beta 108.41
_cell_angle_gamma 90.00
_space_group_name_H-M_alt 'P 1 m 1'
_space_group_IT_number 6
_space_group_name_Hall 'P -2y'
loop_
_atom_site_label
_atom_site_type_symbol
_atom_site_fract_x
_atom_site_fract_y
_atom_site_fract_z
_atom_site_occupancy
Cd1 Cd 0.000 0.000 0.000 1
Co1 Co 0.247 0.500 0.423 1
P1 P 0.340 0.000 0.657 1
P2 P 0.682 0.500 0.277 1
```

Values from the calculation:
Formation energy ... 22 meV/atom
VASP energy ... -4.69 eV per atom

Record 10
## CdCo4P (PBE)

Data for a geometry-optimized CdCo4P structure.

CIF file:
```
data_CdCo4P
_cell_length_a 6.843
_cell_length_b 6.843
_cell_length_c 6.843
_cell_angle_alpha 90.00
_cell_angle_beta 90.00
_cell_angle_gamma 90.00
_space_group_name_H-M_alt 'F -4 3 m'
_space_group_IT_number 216
_space_group_name_Hall 'F -4 2 3'
loop_
_atom_site_label
_atom_site_type_symbol
_atom_site_fract_x
_atom_site_fract_y
_atom_site_fract_z
_atom_site_occupancy
Cd1 Cd 0.000 0.000 0.000 1
Co1 Co 0.124 0.124 0.376 1
P1 P 0.250 0.250 0.750 1
```

Values from the calculation:
Formation energy ... 364 meV/atom
VASP energy ... -5.43 eV per atom

Record 11
## Cd2CoP2 (PBE)

Data for a geometry-optimized Cd2CoP2 structure.

CIF file:
```
data_Cd2CoP2
_cell_length_a 5.664
_cell_length_b 5.664
_cell_length_c 5.459
_cell_angle_alpha 90.00
_cell_angle_beta 90.00
_cell_angle_gamma 90.00
_space_group_name_H-M_alt 'P 4/m b m'
_space_group_IT_number 127
_space_group_name_Hall '-P 4 2ab'
loop_
_atom_site_label
_atom_site_type_symbol
_atom_site_fract_x
_atom_site_fract_y
_atom_site_fract_z
_atom_site_occupancy
Cd1 Cd 0.187 0.313 0.000 1
Co1 Co 0.000 0.000 0.500 1
P1 P 0.140 0.640 0.500 1
```

Values from the calculation:
Formation energy ... -51 meV/atom
VASP energy ... -4.00 eV per atom

Record 12
## CdCoP2 (PBE)

Data for a geometry-optimized CdCoP2 structure.

CIF file:
```
data_CdCoP2
_cell_length_a 6.197
_cell_length_b 3.846
_cell_length_c 5.395
_cell_angle_alpha 90.00
_cell_angle_beta 90.41
_cell_angle_gamma 90.00
_space_group_name_H-M_alt 'C 1 2/m 1'
_space_group_IT_number 12
_space_group_name_Hall '-C 2y'
loop_
_atom_site_label
_atom_site_type_symbol
_atom_site_fract_x
_atom_site_fract_y
_atom_site_fract_z
_atom_site_occupancy
Cd1 Cd 0.000 0.000 0.000 1
Co1 Co 0.000 0.000 0.500 1
P1 P 0.153 0.500 0.348 1
```

Values from the calculation:
Formation energy ... -170 meV/atom
VASP energy ... -4.88 eV per atom

Record 13
## CdCoReP (PBE)

Data for a geometry-optimized CdCoReP structure.

CIF file:
```
data_CdCoReP
_cell_length_a 2.700
_cell_length_b 2.700
_cell_length_c 16.275
_cell_angle_alpha 90.00
_cell_angle_beta 90.00
_cell_angle_gamma 90.00
_space_group_name_H-M_alt 'I 4 m m'
_space_group_IT_number 107
_space_group_name_Hall 'I 4 -2'
loop_
_atom_site_label
_atom_site_type_symbol
_atom_site_fract_x
_atom_site_fract_y
_atom_site_fract_z
_atom_site_occupancy
Cd1 Cd 0.000 0.000 0.000 1
Co1 Co 0.000 0.000 0.367 1
Re1 Re 0.000 0.000 0.649 1
P1 P 0.000 0.000 0.795 1
```

Values from the calculation:
Formation energy ... 220 meV/atom
Polymorph energy (0 for the lowest one) ... 1.00 eV/f.u.
VASP energy ... -6.25 eV per atom

Record 14
## CdCoReP (PBE)

Data for a geometry-optimized CdCoReP structure.

CIF file:
```
data_CdCoReP
_cell_length_a 3.3955
_cell_length_b 3.3955
_cell_length_c 19.1526
_cell_angle_alpha 90.00
_cell_angle_beta 90.00
_cell_angle_gamma 120.00
_space_group_name_H-M_alt 'R 3 m'
_space_group_IT_number 160
_space_group_name_Hall 'R 3 -2"'
loop_
_atom_site_label
_atom_site_type_symbol
_atom_site_fract_x
_atom_site_fract_y
_atom_site_fract_z
_atom_site_occupancy
Cd1 Cd 0.0000 0.0000 0.0000 1
Co1 Co 0.0000 0.0000 0.2246 1
Re1 Re 0.0000 0.0000 0.4490 1
P1 P 0.0000 0.0000 0.8495 1
```

Values from the calculation:
Formation energy ... 180 meV/atom
Polymorph energy (0 for the lowest one) ... 0.84 eV/f.u.
VASP energy ... -6.29 eV per atom

Record 15
## CdCoReP (PBE)

Data for a geometry-optimized CdCoReP structure.

CIF file:
```
data_CdCoReP
_cell_length_a 3.224
_cell_length_b 2.784
_cell_length_c 13.249
_cell_angle_alpha 90.00
_cell_angle_beta 90.00
_cell_angle_gamma 90.00
_space_group_name_H-M_alt 'A m m 2'
_space_group_IT_number 38
_space_group_name_Hall 'A 2 -2'
loop_
_atom_site_label
_atom_site_type_symbol
_atom_site_fract_x
_atom_site_fract_y
_atom_site_fract_z
_atom_site_occupancy
Cd1 Cd 0.000 0.000 0.000 1
Co1 Co 0.500 0.000 0.338 1
Re1 Re 0.500 0.000 0.657 1
P1 P 0.000 0.000 0.783 1
```

Values from the calculation:
Formation energy ... 113 meV/atom
Polymorph energy (0 for the lowest one) ... 0.57 eV/f.u.
VASP energy ... -6.36 eV per atom

Record 16
## CdCoReP (PBE)

Data for a geometry-optimized CdCoReP structure.

CIF file:
```
data_CdCoReP
_cell_length_a 2.9991
_cell_length_b 2.9991
_cell_length_c 22.7326
_cell_angle_alpha 90.00
_cell_angle_beta 90.00
_cell_angle_gamma 120.00
_space_group_name_H-M_alt 'R 3 m'
_space_group_IT_number 160
_space_group_name_Hall 'R 3 -2"'
loop_
_atom_site_label
_atom_site_type_symbol
_atom_site_fract_x
_atom_site_fract_y
_atom_site_fract_z
_atom_site_occupancy
Cd1 Cd 0.0000 0.0000 0.0000 1
Co1 Co 0.0000 0.0000 0.4299 1
Re1 Re 0.0000 0.0000 0.5595 1
P1 P 0.0000 0.0000 0.8215 1
```

Values from the calculation:
Formation energy ... -30 meV/atom
Polymorph energy (0 for the lowest one) ... 0.00 eV/f.u.
VASP energy ... -6.50 eV per atom

Record 17
## CdCoReP (PBE)

Data for a geometry-optimized CdCoReP structure.

CIF file:
```
data_CdCoReP
_cell_length_a 2.901
_cell_length_b 2.901
_cell_length_c 6.797
_cell_angle_alpha 90.00
_cell_angle_beta 90.00
_cell_angle_gamma 90.00
_space_group_name_H-M_alt 'P 4 m m'
_space_group_IT_number 99
_space_group_name_Hall 'P 4 -2'
loop_
_atom_site_label
_atom_site_type_symbol
_atom_site_fract_x
_atom_site_fract_y
_atom_site_fract_z
_atom_site_occupancy
Cd1 Cd 0.000 0.000 0.000 1
Co1 Co 0.500 0.500 0.703 1
Re1 Re 0.500 0.500 0.325 1
P1 P 0.000 0.000 0.522 1
```

Values from the calculation:
Formation energy ... 103 meV/atom
Polymorph energy (0 for the lowest one) ... 0.53 eV/f.u.
VASP energy ... -6.37 eV per atom

Record 18
## CdCoReP (PBE)

Data for a geometry-optimized CdCoReP structure.

CIF file:
```
data_CdCoReP
_cell_length_a 3.227
_cell_length_b 2.986
_cell_length_c 12.256
_cell_angle_alpha 90.00
_cell_angle_beta 90.00
_cell_angle_gamma 90.00
_space_group_name_H-M_alt 'A m m 2'
_space_group_IT_number 38
_space_group_name_Hall 'A 2 -2'
loop_
_atom_site_label
_atom_site_type_symbol
_atom_site_fract_x
_atom_site_fract_y
_atom_site_fract_z
_atom_site_occupancy
Cd1 Cd 0.000 0.000 0.000 1
Co1 Co 0.500 0.000 0.365 1
Re1 Re 0.500 0.000 0.671 1
P1 P 0.000 0.000 0.252 1
```

Values from the calculation:
Formation energy ... 20 meV/atom
Polymorph energy (0 for the lowest one) ... 0.20 eV/f.u.
VASP energy ... -6.45 eV per atom

Record 19
## CdCoReP (PBE)

Data for a geometry-optimized CdCoReP structure.

CIF file:
```
data_CdCoReP
_cell_length_a 4.969
_cell_length_b 2.865
_cell_length_c 8.310
_cell_angle_alpha 90.00
_cell_angle_beta 101.57
_cell_angle_gamma 90.00
_space_group_name_H-M_alt 'C 1 m 1'
_space_group_IT_number 8
_space_group_name_Hall 'C -2y'
loop_
_atom_site_label
_atom_site_type_symbol
_atom_site_fract_x
_atom_site_fract_y
_atom_site_fract_z
_atom_site_occupancy
Cd1 Cd 0.000 0.000 0.000 1
Co1 Co 0.260 0.500 0.279 1
Re1 Re 0.063 0.500 0.688 1
P1 P 0.157 0.000 0.470 1
```

Values from the calculation:
Formation energy ... 104 meV/atom
Polymorph energy (0 for the lowest one) ... 0.54 eV/f.u.
VASP energy ... -6.37 eV per atom

Record 20
## CdCoReP (PBE)

Data for a geometry-optimized CdCoReP structure.

CIF file:
```
data_CdCoReP
_cell_length_a 8.273
_cell_length_b 3.038
_cell_length_c 5.153
_cell_angle_alpha 90.00
_cell_angle_beta 112.35
_cell_angle_gamma 90.00
_space_group_name_H-M_alt 'C 1 m 1'
_space_group_IT_number 8
_space_group_name_Hall 'C -2y'
loop_
_atom_site_label
_atom_site_type_symbol
_atom_site_fract_x
_atom_site_fract_y
_atom_site_fract_z
_atom_site_occupancy
Cd1 Cd 0.000 0.000 0.000 1
Co1 Co 0.285 0.500 0.256 1
Re1 Re 0.197 0.000 0.612 1
P1 P 0.461 0.000 0.519 1
```

Values from the calculation:
Formation energy ... 162 meV/atom
Polymorph energy (0 for the lowest one) ... 0.77 eV/f.u.
VASP energy ... -6.31 eV per atom